Entry from Alexandria via LeMat-Bulk: a relaxed structure of Ca2YMgH (PBE-GGA).

a = 5.114 Å, b = 5.114 Å, c = 4.962 Å
α = 90.00°, β = 90.00°, γ = 90.00°
Element x y z (fractional)
Mg (0.500, 0.500, 0.500)
H (0.000, 0.000, 0.000)
Ca (0.000, 0.500, 0.000)
Ca (0.500, 0.000, 0.000)
Y (0.000, 0.000, 0.500)

Computed properties:
As for the space group: P4/mmm, No. 123. For the density of states at the Fermi level, the calculation gives 1.04 states/eV per atom. Its size of the total moment is 0.00 μB/f.u. As for the uncorrected energy: -15.901 eV per cell.